An optimized crystal structure of ThNpGa. Source: the Alexandria database, functional PBE-GGA.

Lattice parameters (Å, degrees): 3.627 5.149 7.971 94.19 103.15 90.00
Fractional coordinates of all 6 atoms:
Np 0.754 0.156 0.508
Np 0.246 0.844 0.492
Ga 0.593 0.785 0.187
Ga 0.407 0.215 0.813
Th 0.921 0.722 0.842
Th 0.079 0.278 0.158

## Properties
- E_tot (eV per cell) = -47.50
- symmetry = C2/m, No. 12
- density (g cm⁻³) = 12.38
- magnetization (μB per formula unit) = 1.0